# 1
Compound: DySiHg
Source: the Alexandria database
Functional: GGA-PBE
Structure: optimized geometry

Geometry as CIF:
```
data_DySiHg
_chemical_formula_sum 'Dy4 Si4 Hg4'
_cell_length_a 4.1714
_cell_length_b 16.3923
_cell_length_c 3.8617
_cell_angle_alpha 90.00
_cell_angle_beta 90.00
_cell_angle_gamma 90.00
_space_group_name_H-M_alt 'C m c m'
_space_group_IT_number 63
_space_group_name_Hall '-C 2c 2'
loop_
_atom_site_label
_atom_site_fract_x
_atom_site_fract_y
_atom_site_fract_z
Dy1 0.0000 0.0942 0.2500
Si1 0.0000 0.4566 0.2500
Hg1 0.0000 0.2881 0.2500
```

Values from the calculation:
Formation energy without anion corrections, eV per atom: -0.53
Energy relative to the lowest polymorph listed for this composition, meV/atom: 0


# 2
Compound: ScPtPbO4
Source: the Alexandria database
Functional: GGA-PBE
Structure: optimized geometry

Geometry as CIF:
```
data_ScPtPbO4
_chemical_formula_sum 'Sc4 Pt4 Pb4 O16'
_cell_length_a 6.3728
_cell_length_b 6.5684
_cell_length_c 10.0509
_cell_angle_alpha 90.00
_cell_angle_beta 90.00
_cell_angle_gamma 90.00
_space_group_name_H-M_alt 'I m m a'
_space_group_IT_number 74
_space_group_name_Hall '-I 2b 2'
loop_
_atom_site_label
_atom_site_fract_x
_atom_site_fract_y
_atom_site_fract_z
Sc1 0.0000 0.0000 0.0000
Pt1 0.2500 0.2500 0.2500
Pb1 0.0000 0.2500 0.6410
O1 0.0000 0.0539 0.2162
O2 0.2138 0.2500 0.9957
```

Values from the calculation:
Formation energy without anion corrections, eV per atom: -1.58


# 3
Compound: Ho6ScAg5
Source: the Alexandria database
Functional: GGA-PBE
Structure: optimized geometry

Geometry as CIF:
```
data_Ho6ScAg5
_chemical_formula_sum 'Ho12 Sc2 Ag10'
_cell_length_a 5.1427
_cell_length_b 7.2674
_cell_length_c 15.6463
_cell_angle_alpha 90.00
_cell_angle_beta 90.00
_cell_angle_gamma 90.00
_space_group_name_H-M_alt 'I m m m'
_space_group_IT_number 71
_space_group_name_Hall '-I 2 2'
loop_
_atom_site_label
_atom_site_fract_x
_atom_site_fract_y
_atom_site_fract_z
Ho1 0.0000 0.2365 0.0000
Ho2 0.0000 0.2517 0.3289
Sc1 0.0000 0.0000 0.5000
Ag1 0.0000 0.0000 0.1677
Ag2 0.0000 0.5000 0.1492
Ag3 0.0000 0.5000 0.5000
```

Values from the calculation:
Raw total energy, eV/atom: -4.22


Short version: DOS at the Fermi energy = 0.44; 0.07; 0.83 states/eV/atom, in the order given.